1.
DFT (PBE) results for a geometry-optimized CuSIN2 structure.

Output
energy relative to the lowest polymorph listed for this composition = 0.184 eV/atom
total magnetic moment = 3.7 μB per cell
VASP energy = -3.664 eV per atom
uncorrected formation energy = 1.621 eV/atom

abc: 3.818 3.818 7.426
angles: 90.00 90.00 90.00
Space group P4/mmm (No. 123)
Symmetry-distinct sites (fractional):
Cu: 0.000 0.000 0.000
S: 0.500 0.500 0.500
I: 0.000 0.000 0.500
N: 0.000 0.500 0.000

***

2.
DFT (PBE) results for a geometry-optimized ScCuIN2 structure.

Output
energy relative to the lowest polymorph listed for this composition = 0.381 eV/atom
total magnetic moment = 1.2 μB per cell
VASP energy = -4.609 eV per atom
uncorrected formation energy = 1.116 eV/atom

abc: 4.000 4.000 5.102
angles: 90.00 90.00 90.00
Space group P4/mmm (No. 123)
Symmetry-distinct sites (fractional):
Sc: 0.000 0.000 0.000
Cu: 0.500 0.500 0.500
I: 0.500 0.500 0.000
N: 0.000 0.500 0.500

***

3.
DFT (PBE) results for a geometry-optimized ScCuIN2 structure.

Output
energy relative to the lowest polymorph listed for this composition = 0.000 eV/atom
total magnetic moment = 0.7 μB per cell
VASP energy = -4.990 eV per atom
uncorrected formation energy = 0.735 eV/atom

abc: 4.052 4.052 6.365
angles: 90.00 90.00 90.00
Space group P4/mmm (No. 123)
Symmetry-distinct sites (fractional):
Sc: 0.000 0.000 0.000
Cu: 0.500 0.500 0.500
I: 0.000 0.000 0.500
N: 0.000 0.500 0.000

***

4.
DFT (PBE) results for a geometry-optimized CuSeI2N structure.

Output
energy relative to the lowest polymorph listed for this composition = 0.077 eV/atom
total magnetic moment = 0.0 μB per cell
VASP energy = -2.786 eV per atom
uncorrected formation energy = 1.015 eV/atom

abc: 5.946 5.946 3.684
angles: 90.00 90.00 90.00
Space group P4/mmm (No. 123)
Symmetry-distinct sites (fractional):
Cu: 0.000 0.000 0.000
Se: 0.500 0.500 0.500
I: 0.000 0.500 0.500
N: 0.500 0.500 0.000

***

5.
DFT (PBE) results for a geometry-optimized CuSe2IN structure.

Output
energy relative to the lowest polymorph listed for this composition = 0.000 eV/atom
total magnetic moment = 1.7 μB per cell
VASP energy = -3.241 eV per atom
uncorrected formation energy = 0.948 eV/atom

abc: 5.143 5.143 3.724
angles: 90.00 90.00 90.00
Space group P4/mmm (No. 123)
Symmetry-distinct sites (fractional):
Cu: 0.000 0.000 0.000
Se: 0.000 0.500 0.000
I: 0.500 0.500 0.500
N: 0.000 0.000 0.500

***

6.
DFT (PBE) results for a geometry-optimized CuSeI2N structure.

Output
energy relative to the lowest polymorph listed for this composition = 0.000 eV/atom
total magnetic moment = 1.9 μB per cell
VASP energy = -2.863 eV per atom
uncorrected formation energy = 0.938 eV/atom

abc: 5.612 5.612 3.681
angles: 90.00 90.00 90.00
Space group P4/mmm (No. 123)
Symmetry-distinct sites (fractional):
Cu: 0.000 0.000 0.000
Se: 0.500 0.500 0.500
I: 0.000 0.500 0.000
N: 0.000 0.000 0.500